(1)
# GaSeF, optimized geometry, DFT GGA-PBE
data_GaSeF
_cell_length_a 3.8130
_cell_length_b 5.3388
_cell_length_c 9.0105
_cell_angle_alpha 83.33
_cell_angle_beta 77.79
_cell_angle_gamma 70.05
_space_group_name_H-M_alt 'P -1'
_space_group_IT_number 2
loop_
_space_group_symop_operation_xyz
'x,y,z'
'-x,-y,-z'
loop_
_atom_site_label
_atom_site_fract_x
_atom_site_fract_y
_atom_site_fract_z
_atom_site_occupancy
Ga1 0.0394 0.0942 0.3326 1
Se1 0.4230 0.8284 0.8168 1
F1 0.1309 0.7652 0.4633 1
# E	-4.1826	eV per atom
# Fermi-level density of states	0.00	states/eV per cell
# formation energy from raw total energies	-1388	meV/atom
# spin magnetization	0.00	Bohr magnetons per cell

=====

(2)
# GaSe3F, optimized geometry, DFT GGA-PBE
data_GaSe3F
_cell_length_a 4.7213
_cell_length_b 4.7213
_cell_length_c 4.7213
_cell_angle_alpha 90.00
_cell_angle_beta 90.00
_cell_angle_gamma 90.00
_space_group_name_H-M_alt 'P m -3 m'
_space_group_IT_number 221
_space_group_name_Hall '-P 4 2 3'
loop_
_atom_site_label
_atom_site_fract_x
_atom_site_fract_y
_atom_site_fract_z
_atom_site_occupancy
Ga1 0.0000 0.0000 0.0000 1
Se1 0.0000 0.5000 0.5000 1
F1 0.5000 0.5000 0.5000 1
# E	-2.8130	eV per atom
# Fermi-level density of states	3.96	states/eV per cell
# formation energy from raw total energies	257	meV/atom
# spin magnetization	0.00	Bohr magnetons per cell

=====

(3)
# GaSeF2, optimized geometry, DFT GGA-PBE
data_GaSeF2
_cell_length_a 6.0979
_cell_length_b 6.0979
_cell_length_c 8.7708
_cell_angle_alpha 90.00
_cell_angle_beta 90.00
_cell_angle_gamma 90.00
_space_group_name_H-M_alt 'I 41/a m d'
_space_group_IT_number 141
loop_
_space_group_symop_operation_xyz
'x,y,z'
'-x,-y,-z'
'-y+1/4,x+3/4,z+1/4'
'y+1/4,-x+3/4,-z+1/4'
'-x+1/2,-y,z+1/2'
'x+1/2,y,-z+1/2'
'y+1/4,-x+1/4,z+3/4'
'-y+1/4,x+1/4,-z+3/4'
'x,-y,-z'
'-x,y,z'
'-y+1/4,-x+1/4,-z+3/4'
'y+1/4,x+1/4,z+3/4'
'-x+1/2,y,-z+1/2'
'x+1/2,-y,z+1/2'
'y+1/4,x+3/4,-z+1/4'
'-y+1/4,-x+3/4,z+1/4'
'x+1/2,y+1/2,z+1/2'
'-x+1/2,-y+1/2,-z+1/2'
'-y+3/4,x+1/4,z+3/4'
'y+3/4,-x+1/4,-z+3/4'
'-x,-y+1/2,z'
'x,y+1/2,-z'
'y+3/4,-x+3/4,z+1/4'
'-y+3/4,x+3/4,-z+1/4'
'x+1/2,-y+1/2,-z+1/2'
'-x+1/2,y+1/2,z+1/2'
'-y+3/4,-x+3/4,-z+1/4'
'y+3/4,x+3/4,z+1/4'
'-x,y+1/2,-z'
'x,-y+1/2,z'
'y+3/4,x+1/4,-z+3/4'
'-y+3/4,-x+1/4,z+3/4'
loop_
_atom_site_label
_atom_site_fract_x
_atom_site_fract_y
_atom_site_fract_z
_atom_site_occupancy
Ga1 0.0000 0.2500 0.3750 1
Se1 0.0000 0.2500 0.8750 1
F1 0.0000 0.0000 0.5000 1
# E	-3.6636	eV per atom
# Fermi-level density of states	5.63	states/eV per cell
# formation energy from raw total energies	-1100	meV/atom
# spin magnetization	4.78	Bohr magnetons per cell

=====

Which of these has the lowest formation energy from raw total energies? GaSeF